a.
VASP calculation (GGA-PBE) on a relaxed Sr2YTi crystal.

calculated volume = 35.880 A^3/atom
total moment = 2.38 μB/f.u.

Cell and atoms, written as POSCAR:
```
Sr2YTi
1.0
0.000 4.156 4.156
4.156 0.000 4.156
4.156 4.156 0.000
Sr Y Ti
2 1 1
Cartesian
2.078 2.078 2.078
6.233 6.233 6.233
0.000 0.000 0.000
4.156 4.156 4.156
```



b.
VASP calculation (GGA-PBE) on a relaxed Sr2YTi crystal.

calculated volume = 36.404 A^3/atom
total moment = 3.00 μB/f.u.

Cell and atoms, written as POSCAR:
```
Sr2YTi
1.0
-4.638 4.638 3.385
4.638 -4.638 3.385
4.638 4.638 -3.385
Sr Y Ti
4 2 2
Cartesian
6.957 2.098 -0.846
2.098 2.319 0.846
-2.319 2.540 2.539
2.540 2.319 4.231
4.638 0.000 1.693
0.000 0.000 3.385
0.000 0.000 0.000
0.000 4.638 1.693
```



Which structure is most stable? a, by 158 meV per atom over the runner-up.



a.
VASP calculation (GGA-PBE) on a relaxed Sr2Y2Ti crystal.

calculated volume = 36.144 A^3/atom
total moment = 2.17 μB/f.u.

Cell and atoms, written as POSCAR:
```
Sr2Y2Ti
1.0
-2.220 2.220 9.167
2.220 -2.220 9.167
2.220 2.220 -9.167
Sr Y Ti
2 2 1
Cartesian
2.220 0.000 4.584
0.000 2.220 4.584
0.000 0.000 1.535
0.000 0.000 16.800
0.000 0.000 9.167
```



b.
VASP calculation (GGA-PBE) on a relaxed Sr2Y2Ti crystal.

calculated volume = 38.021 A^3/atom
total moment = 3.65 μB/f.u.

Cell and atoms, written as POSCAR:
```
Sr2Y2Ti
1.0
7.777 0.000 0.000
0.000 7.777 0.000
0.000 0.000 6.287
Sr Y Ti
4 4 2
Cartesian
1.375 2.514 0.000
2.514 6.402 0.000
5.263 1.375 0.000
6.402 5.263 0.000
1.216 5.105 3.143
2.672 1.216 3.143
5.105 6.560 3.143
6.560 2.672 3.143
0.000 0.000 3.143
3.888 3.888 3.143
```



Which structure is most stable? b, by 301 meV per atom over the runner-up.



a.
VASP calculation (GGA-PBE) on a relaxed SrZr3Ti crystal.

calculated volume = 28.041 A^3/atom
total moment = 0.00 μB/f.u.

Cell and atoms, written as POSCAR:
```
SrZr3Ti
1.0
5.195 0.000 0.000
0.000 5.195 0.000
0.000 0.000 5.195
Sr Zr Ti
1 3 1
Cartesian
0.000 0.000 0.000
0.000 2.598 2.598
2.598 0.000 2.598
2.598 2.598 0.000
2.598 2.598 2.598
```



b.
VASP calculation (GGA-PBE) on a relaxed SrZr3Ti crystal.

calculated volume = 26.702 A^3/atom
total moment = 1.59 μB/f.u.

Cell and atoms, written as POSCAR:
```
SrZr3Ti
1.0
5.111 0.000 0.000
0.000 5.111 0.000
0.000 0.000 5.111
Sr Zr Ti
1 3 1
Cartesian
0.000 0.000 0.000
0.000 0.000 2.555
0.000 2.555 0.000
2.555 0.000 0.000
2.555 2.555 2.555
```



Which structure is most stable? a, by 1232 meV per atom over the runner-up.



a.
VASP calculation (GGA-PBE) on a relaxed Sr3ZrTi crystal.

calculated volume = 39.114 A^3/atom
total moment = 1.50 μB/f.u.

Cell and atoms, written as POSCAR:
```
Sr3ZrTi
1.0
5.805 0.000 0.000
0.000 5.805 0.000
0.000 0.000 5.805
Sr Zr Ti
3 1 1
Cartesian
0.000 0.000 2.902
0.000 2.902 0.000
2.902 0.000 0.000
2.902 2.902 2.902
0.000 0.000 0.000
```



b.
VASP calculation (GGA-PBE) on a relaxed Sr3ZrTi crystal.

calculated volume = 43.340 A^3/atom
total moment = 1.52 μB/f.u.

Cell and atoms, written as POSCAR:
```
Sr3ZrTi
1.0
6.006 0.000 0.000
0.000 6.006 0.000
0.000 0.000 6.006
Sr Zr Ti
3 1 1
Cartesian
0.000 0.000 3.003
0.000 3.003 0.000
3.003 0.000 0.000
0.000 0.000 0.000
3.003 3.003 3.003
```



Which structure is most stable? a, by 19 meV per atom over the runner-up.